# PBE TaAg2AuS4, relaxed
data_TaAg2AuS4
_chemical_formula_sum 'Ta4 Ag8 Au4 S16'
_space_group_name_H-M_alt 'F m m 2'
_space_group_IT_number 42
_space_group_name_Hall 'F 2 -2'
_cell_length_a 8.0960
_cell_length_b 8.1016
_cell_length_c 11.5724
_cell_angle_alpha 90.00
_cell_angle_beta 90.00
_cell_angle_gamma 90.00
loop_
_atom_site_label
_atom_site_type_symbol
_atom_site_fract_x
_atom_site_fract_y
_atom_site_fract_z
Ta1 Ta 0.0000 0.0000 0.0000
Ag1 Ag 0.2500 0.2500 0.2498
Au1 Au 0.0000 0.0000 0.4994
S1 S 0.0000 0.2326 0.8847
S2 S 0.2328 0.0000 0.1152
# E ... -5.03 eV/atom
# V ... 23.7 Å³/atom
# Formation energy from raw total energies ... -0.36 eV per atom

***

# PBE SrLiAl2Ga2, relaxed
data_SrLiAl2Ga2
_chemical_formula_sum 'Sr1 Li1 Al2 Ga2'
_space_group_name_H-M_alt 'P -3 m 1'
_space_group_IT_number 164
_space_group_name_Hall '-P 3 2"'
_cell_length_a 4.4631
_cell_length_b 4.4631
_cell_length_c 7.3471
_cell_angle_alpha 90.00
_cell_angle_beta 90.00
_cell_angle_gamma 120.00
loop_
_atom_site_label
_atom_site_type_symbol
_atom_site_fract_x
_atom_site_fract_y
_atom_site_fract_z
Sr1 Sr 0.0000 0.0000 0.0000
Li1 Li 0.0000 0.0000 0.5000
Al1 Al 0.3333 0.6667 0.6761
Ga1 Ga 0.3333 0.6667 0.2836
# E ... -3.16 eV/atom
# V ... 21.1 Å³/atom
# E_form ... -309 meV/atom

***

# PBE LiNi6Rh, relaxed
data_LiNi6Rh
_chemical_formula_sum 'Li8 Ni48 Rh8'
_space_group_name_H-M_alt 'C m m m'
_space_group_IT_number 65
_space_group_name_Hall '-C 2 2'
_cell_length_a 7.1280
_cell_length_b 10.1370
_cell_length_c 10.1418
_cell_angle_alpha 90.00
_cell_angle_beta 90.00
_cell_angle_gamma 90.00
loop_
_atom_site_label
_atom_site_type_symbol
_atom_site_fract_x
_atom_site_fract_y
_atom_site_fract_z
Li1 Li 0.0000 0.0000 0.2470
Li2 Li 0.0000 0.2541 0.0000
Ni1 Ni 0.0000 0.0000 0.0000
Ni2 Ni 0.0000 0.0000 0.5000
Ni3 Ni 0.0000 0.2497 0.2476
Ni4 Ni 0.0000 0.5000 0.0000
Ni5 Ni 0.0000 0.5000 0.5000
Ni6 Ni 0.2463 0.1255 0.1228
Ni7 Ni 0.2485 0.1242 0.3722
Rh1 Rh 0.0000 0.2483 0.5000
Rh2 Rh 0.0000 0.5000 0.2446
# Relative energy among the computed polymorphs ... 15 meV per atom
# E ... -5.48 eV/atom
# V ... 11.5 Å³/atom
# E_form ... 12 meV/atom

***

# PBE Hf4ZrPaN8, relaxed
data_Hf4ZrPaN8
_chemical_formula_sum 'Hf12 Zr3 Pa3 N24'
_space_group_name_H-M_alt 'R 3 m'
_space_group_IT_number 160
_space_group_name_Hall 'R 3 -2"'
_cell_length_a 6.4917
_cell_length_b 6.4917
_cell_length_c 15.9450
_cell_angle_alpha 90.00
_cell_angle_beta 90.00
_cell_angle_gamma 120.00
loop_
_atom_site_label
_atom_site_type_symbol
_atom_site_fract_x
_atom_site_fract_y
_atom_site_fract_z
Hf1 Hf 0.0000 0.0000 0.0000
Hf2 Hf 0.9997 0.4998 0.1248
Zr1 Zr 0.0000 0.0000 0.6251
Pa1 Pa 0.0000 0.0000 0.2494
N1 N 0.0000 0.0000 0.3869
N2 N 0.0000 0.0000 0.8680
N3 N 0.0148 0.5074 0.3786
N4 N 0.1818 0.3635 0.2030
# E ... -10.48 eV/atom
# V ... 13.9 Å³/atom
# Formation energy from raw total energies ... -1.59 eV per atom

***

# PBE CoRh2Se, relaxed
data_CoRh2Se
_chemical_formula_sum 'Co2 Rh4 Se2'
_space_group_name_H-M_alt 'C m m m'
_space_group_IT_number 65
_space_group_name_Hall '-C 2 2'
_cell_length_a 2.8427
_cell_length_b 4.7378
_cell_length_c 8.7589
_cell_angle_alpha 90.00
_cell_angle_beta 90.00
_cell_angle_gamma 90.00
loop_
_atom_site_label
_atom_site_type_symbol
_atom_site_fract_x
_atom_site_fract_y
_atom_site_fract_z
Co1 Co 0.0000 0.0000 0.0000
Rh1 Rh 0.0000 0.5000 0.2391
Se1 Se 0.0000 0.0000 0.5000
# E ... -5.95 eV/atom
# V ... 14.7 Å³/atom
# Formation energy from raw total energies ... 0.38 eV per atom

***

# PBE LiSm2Si, relaxed
data_LiSm2Si
_chemical_formula_sum 'Li1 Sm2 Si1'
_space_group_name_H-M_alt 'P 4/m m m'
_space_group_IT_number 123
_space_group_name_Hall '-P 4 2'
_cell_length_a 4.8602
_cell_length_b 4.8602
_cell_length_c 4.0131
_cell_angle_alpha 90.00
_cell_angle_beta 90.00
_cell_angle_gamma 90.00
loop_
_atom_site_label
_atom_site_type_symbol
_atom_site_fract_x
_atom_site_fract_y
_atom_site_fract_z
Li1 Li 0.0000 0.0000 0.0000
Sm1 Sm 0.0000 0.5000 0.5000
Si1 Si 0.5000 0.5000 0.0000
# E ... -4.51 eV/atom
# V ... 23.7 Å³/atom
# Formation energy from raw total energies ... -0.32 eV per atom

***

# PBE Re2PtBr, relaxed
data_Re2PtBr
_chemical_formula_sum 'Re2 Pt1 Br1'
_space_group_name_H-M_alt 'P m m m'
_space_group_IT_number 47
_cell_length_a 2.8290
_cell_length_b 4.7598
_cell_length_c 4.8806
_cell_angle_alpha 90.00
_cell_angle_beta 90.00
_cell_angle_gamma 90.00
loop_
_space_group_symop_operation_xyz
'x,y,z'
'-x,-y,-z'
'-x,-y,z'
'x,y,-z'
'x,-y,-z'
'-x,y,z'
'-x,y,-z'
'x,-y,z'
loop_
_atom_site_label
_atom_site_type_symbol
_atom_site_fract_x
_atom_site_fract_y
_atom_site_fract_z
Re1 Re 0.0000 0.0000 0.0000
Re2 Re 0.5000 0.5000 0.0000
Pt1 Pt 0.0000 0.5000 0.5000
Br1 Br 0.5000 0.0000 0.5000
# Relative energy among the computed polymorphs ... 751 meV per atom
# E ... -7.02 eV/atom
# V ... 16.4 Å³/atom
# Formation energy from raw total energies ... 1.13 eV per atom

***

# PBE HoZnPt2, relaxed
data_HoZnPt2
_chemical_formula_sum 'Ho4 Zn4 Pt8'
_space_group_name_H-M_alt 'P n m a'
_space_group_IT_number 62
_cell_length_a 7.1911
_cell_length_b 7.1232
_cell_length_c 5.7132
_cell_angle_alpha 90.00
_cell_angle_beta 90.00
_cell_angle_gamma 90.00
loop_
_space_group_symop_operation_xyz
'x,y,z'
'-x,-y,-z'
'-x+1/2,-y,z+1/2'
'x+1/2,y,-z+1/2'
'x+1/2,-y+1/2,-z+1/2'
'-x+1/2,y+1/2,z+1/2'
'-x,y+1/2,-z'
'x,-y+1/2,z'
loop_
_atom_site_label
_atom_site_type_symbol
_atom_site_fract_x
_atom_site_fract_y
_atom_site_fract_z
Ho1 Ho 0.0262 0.2500 0.1518
Zn1 Zn 0.1081 0.7500 0.3461
Pt1 Pt 0.1930 0.0469 0.5755
# E ... -5.42 eV/atom
# V ... 18.3 Å³/atom
# E_form ... -933 meV/atom

***

# PBE Sr3In2GaHg6, relaxed
data_Sr3In2GaHg6
_chemical_formula_sum 'Sr3 In2 Ga1 Hg6'
_space_group_name_H-M_alt 'P -3 m 1'
_space_group_IT_number 164
_space_group_name_Hall '-P 3 2"'
_cell_length_a 6.5430
_cell_length_b 6.5430
_cell_length_c 9.4455
_cell_angle_alpha 90.00
_cell_angle_beta 90.00
_cell_angle_gamma 120.00
loop_
_atom_site_label
_atom_site_type_symbol
_atom_site_fract_x
_atom_site_fract_y
_atom_site_fract_z
Sr1 Sr 0.0000 0.0000 0.0000
Sr2 Sr 0.3333 0.6667 0.6124
In1 In 0.3333 0.6667 0.9940
Ga1 Ga 0.0000 0.0000 0.5000
Hg1 Hg 0.1757 0.3515 0.2792
# E ... -1.56 eV/atom
# V ... 29.2 Å³/atom
# E_form ... -284 meV/atom

***

# PBE Cs2PWCl6, relaxed
data_Cs2PWCl6
_chemical_formula_sum 'Cs4 P2 W2 Cl12'
_space_group_name_H-M_alt 'I 4/m m m'
_space_group_IT_number 139
_space_group_name_Hall '-I 4 2'
_cell_length_a 7.1008
_cell_length_b 7.1008
_cell_length_c 12.2522
_cell_angle_alpha 90.00
_cell_angle_beta 90.00
_cell_angle_gamma 90.00
loop_
_atom_site_label
_atom_site_type_symbol
_atom_site_fract_x
_atom_site_fract_y
_atom_site_fract_z
Cs1 Cs 0.0000 0.5000 0.2500
P1 P 0.0000 0.0000 0.0000
W1 W 0.0000 0.0000 0.5000
Cl1 Cl 0.0000 0.0000 0.3010
Cl2 Cl 0.2458 0.2458 0.5000
# E ... -3.98 eV/atom
# V ... 30.9 Å³/atom
# Formation energy from raw total energies ... -0.86 eV per atom

***

# PBE InPbBr2, relaxed
data_InPbBr2
_chemical_formula_sum 'In2 Pb2 Br4'
_space_group_name_H-M_alt 'I m m m'
_space_group_IT_number 71
_space_group_name_Hall '-I 2 2'
_cell_length_a 4.3106
_cell_length_b 6.2330
_cell_length_c 9.6185
_cell_angle_alpha 90.00
_cell_angle_beta 90.00
_cell_angle_gamma 90.00
loop_
_atom_site_label
_atom_site_type_symbol
_atom_site_fract_x
_atom_site_fract_y
_atom_site_fract_z
In1 In 0.0000 0.0000 0.0000
Pb1 Pb 0.0000 0.0000 0.5000
Br1 Br 0.0000 0.5000 0.2245
# Relative energy among the computed polymorphs ... 61 meV per atom
# E ... -2.93 eV/atom
# V ... 32.3 Å³/atom
# Formation energy from raw total energies ... -0.48 eV per atom